# LaHoO3

A relaxed LaHoO3 crystal (PBE, Alexandria via LeMat-Bulk).

Cell lengths 6.0926, 8.5531, 5.8925 Å; angles 90.00, 90.00, 90.00 degrees
Last column: nearest neighbours and their distance in Å.
Space group Pnma (No. 62)
Unique sites:
La  0.0477  0.2500  0.0158 x4  4 O 2.37-2.54
Ho  0.0000  0.0000  0.5000 x4  6 O 2.24-2.30
O  0.0596  0.7500  0.3704 x4  2 Ho 2.30, 2 La 2.37-2.54
O  0.1941  0.5693  0.8078 x8  2 Ho 2.24-2.26, 1 La 2.37

Values from the calculation:
* crystal system: orthorhombic
* spin magnetization: 0.00 μB/cell
* DOS at the Fermi energy: 0.0000 states/eV per atom
* calculated volume: 15.353 A^3/atom

=====

# LaHo2O

A relaxed LaHo2O crystal (PBE, Alexandria via LeMat-Bulk).

Cell lengths 3.1899, 3.1899, 8.9357 Å; angles 90.00, 90.00, 90.00 degrees
Last column: nearest neighbours and their distance in Å.
Space group P4/mmm (No. 123)
Unique sites:
La  0.0000  0.0000  0.0000 x1  4 La 3.19
Ho  0.5000  0.5000  0.3284 x2  4 O 2.73
O  0.0000  0.0000  0.5000 x1  8 Ho 2.73

Values from the calculation:
* crystal system: tetragonal
* spin magnetization: 0.00 μB/cell
* energy above the lowest structure with this stoichiometry: 450 meV/atom
* DOS at the Fermi energy: 1.0841 states/eV per atom
* calculated volume: 22.731 A^3/atom

=====

# LaHoO

A relaxed LaHoO crystal (PBE, Alexandria via LeMat-Bulk).

Cell lengths 3.6004, 3.6004, 6.1450 Å; angles 90.00, 90.00, 120.00 degrees
Last column: nearest neighbours and their distance in Å.
Space group P3m1 (No. 156)
Unique sites:
La  0.0000  0.0000  0.0000 x1  3 O 2.69
Ho  0.6667  0.3333  0.5449 x1  3 O 2.35
O  0.3333  0.6667  0.7227 x1  3 Ho 2.35

Values from the calculation:
* crystal system: trigonal
* spin magnetization: 0.09 μB/cell
* energy above the lowest structure with this stoichiometry: 0 meV/atom
* DOS at the Fermi energy: 0.4771 states/eV per atom
* calculated volume: 22.995 A^3/atom

=====

# LaHoO

A relaxed LaHoO crystal (PBE, Alexandria via LeMat-Bulk).

Cell lengths 6.2938, 6.2938, 6.2938 Å; angles 90.00, 90.00, 90.00 degrees
Last column: nearest neighbours and their distance in Å.
Space group P2_13 (No. 198)
Unique sites:
La  0.0885  0.4115  0.5885 x4  3 O 2.80
Ho  0.1043  0.8957  0.3957 x4  3 O 2.39
O  0.2104  0.2104  0.2104 x4  3 Ho 2.39

Values from the calculation:
* crystal system: cubic
* spin magnetization: 0.00 μB/cell
* energy above the lowest structure with this stoichiometry: 222 meV/atom
* DOS at the Fermi energy: 0.5331 states/eV per atom
* calculated volume: 20.776 A^3/atom

=====

# LaHoO2

A relaxed LaHoO2 crystal (PBE, Alexandria via LeMat-Bulk).

Cell lengths 3.4600, 3.4600, 18.5705 Å; angles 90.00, 90.00, 120.00 degrees
Last column: nearest neighbours and their distance in Å.
Space group R3m (No. 160, hexagonal axes)
Unique sites:
La  0.0000  0.0000  0.0000 x3  6 O 2.66-2.82
Ho  0.0000  0.0000  0.1764 x3  6 O 2.31-2.37
O  0.0000  0.0000  0.5718 x3  3 Ho 2.31
O  0.0000  0.0000  0.7739 x3  3 Ho 2.37

Values from the calculation:
* crystal system: trigonal
* spin magnetization: 0.00 μB/cell
* energy above the lowest structure with this stoichiometry: 163 meV/atom
* DOS at the Fermi energy: 0.3138 states/eV per atom
* calculated volume: 16.044 A^3/atom

=====

# La2HoO4

A relaxed La2HoO4 crystal (PBE, Alexandria via LeMat-Bulk).

Cell lengths 12.0061, 3.5512, 6.2336 Å; angles 90.00, 118.08, 90.00 degrees
Last column: nearest neighbours and their distance in Å.
Space group C2/m (No. 12)
Unique sites:
La  0.1909  0.0000  0.1965 x4  4 O 2.38-2.60
Ho  0.0000  0.5000  0.5000 x2  6 O 2.26-2.38
O  0.1235  0.5000  0.9083 x4  1 Ho 2.26, 2 La 2.38
O  0.1354  0.0000  0.5175 x4  2 Ho 2.38, 1 La 2.39

Values from the calculation:
* crystal system: monoclinic
* spin magnetization: 0.00 μB/cell
* DOS at the Fermi energy: 0.2984 states/eV per atom
* calculated volume: 16.749 A^3/atom

=====

# LaHoOsO6

A relaxed LaHoOsO6 crystal (PBE, Alexandria via LeMat-Bulk).

Cell lengths 5.5338, 5.5338, 10.1266 Å; angles 90.00, 90.00, 120.00 degrees
Last column: nearest neighbours and their distance in Å.
Space group P-31c (No. 163)
Unique sites:
La  0.0000  0.0000  0.0000 x2  6 O 2.45
Ho  0.3333  0.6667  0.2500 x2  6 O 2.25
Os  0.3333  0.6667  0.7500 x2  6 O 1.95
O  0.0409  0.3786  0.6409 x12  1 Os 1.95

Values from the calculation:
* crystal system: trigonal
* spin magnetization: 4.01 μB/cell
* DOS at the Fermi energy: 0.5904 states/eV per atom
* calculated volume: 14.920 A^3/atom

=====

# LaHoPaO6

A relaxed LaHoPaO6 crystal (PBE, Alexandria via LeMat-Bulk).

Cell lengths 5.9308, 5.9308, 4.6905 Å; angles 90.00, 90.00, 120.00 degrees
Last column: nearest neighbours and their distance in Å.
Space group P312 (No. 149)
Unique sites:
La  0.0000  0.0000  0.0000 x1  6 O 2.41
Ho  0.3333  0.6667  0.0000 x1  6 O 2.28
Pa  0.6667  0.3333  0.5000 x1  6 O 2.20
O  0.3630  0.0125  0.2468 x6  1 Pa 2.20, 1 Ho 2.28, 1 La 2.41

Values from the calculation:
* crystal system: trigonal
* spin magnetization: 0.66 μB/cell
* DOS at the Fermi energy: 0.9066 states/eV per atom
* calculated volume: 15.876 A^3/atom

=====

# La2HoPdO5

A relaxed La2HoPdO5 crystal (PBE, Alexandria via LeMat-Bulk).

Cell lengths 6.6867, 6.6867, 5.9179 Å; angles 90.00, 90.00, 90.00 degrees
Last column: nearest neighbours and their distance in Å.
Space group P4/mbm (No. 127)
Unique sites:
La  0.1625  0.3375  0.0000 x4  2 O 2.23
Ho  0.0000  0.0000  0.5000 x2  10 O 2.82-2.96
Pd  0.0000  0.5000  0.5000 x2  4 O 2.13
O  0.0000  0.0000  0.0000 x2  4 La 2.50
O  0.1733  0.6733  0.2710 x8  1 Pd 2.13, 1 La 2.23

Values from the calculation:
* crystal system: tetragonal
* spin magnetization: 2.00 μB/cell
* DOS at the Fermi energy: 0.0039 states/eV per atom
* calculated volume: 14.700 A^3/atom

=====

# LaHo2PuO8

A relaxed LaHo2PuO8 crystal (PBE, Alexandria via LeMat-Bulk).

Cell lengths 7.2223, 7.2251, 7.1565 Å; angles 90.00, 90.00, 90.00 degrees
Last column: nearest neighbours and their distance in Å.
Space group Cmmm (No. 65)
Unique sites:
La  0.0000  0.0000  0.0000 x2  6 O 2.30-2.47
Ho  0.0000  0.5000  0.2429 x4  6 O 2.18-2.44
Pu  0.0000  0.0000  0.5000 x2  6 O 2.02-2.03
O  0.0000  0.1878  0.2888 x8  1 Pu 2.03
O  0.1822  0.5000  0.0000 x4  2 Ho 2.18, 1 La 2.30
O  0.2210  0.5000  0.5000 x4  1 Pu 2.02

Values from the calculation:
* crystal system: orthorhombic
* spin magnetization: 2.00 μB/cell
* calculated volume: 15.560 A^3/atom

=====

| no. | E (eV per atom) | formation energy from raw total energies (eV/atom) |
| --- | --- | --- |
| 1 | -8.380 | -3.5043 |
| 2 | -5.544 | -0.7839 |
| 3 | -6.576 | -1.7544 |
| 4 | -6.353 | -1.5322 |
| 5 | -7.600 | -2.7441 |
| 6 | -8.059 | -3.1638 |
| 7 | -7.999 | -2.3901 |
| 8 | -8.600 | -3.1836 |
| 9 | -7.356 | -2.4208 |
| 10 | -8.759 | -3.0857 |